[1]
This record from Alexandria via LeMat-Bulk describes a relaxed NaTbPm2S4 crystal. The functional is GGA-PBE.

Summary:
Raw formation energy in eV/f.u.: -15.36
Magnetic moment in μB per formula unit: 0.00
Space group: P2/m

```
NaTbPm2S4
1.0
-0.714 3.181 -2.306
-5.670 1.440 3.741
5.466 3.250 2.792
Na Tb Pm S
1 1 2 4
direct
0.000 0.000 0.000
0.500 0.500 0.000
0.500 0.000 0.500
0.000 0.500 0.500
0.500 0.254 0.248
0.500 0.746 0.752
0.000 0.255 0.758
0.000 0.745 0.242
```

***

[2]
This record from Alexandria via LeMat-Bulk describes a relaxed Na4TbPm3S8 crystal. The functional is GGA-PBE.

Summary:
Raw formation energy in eV/f.u.: -29.07
Magnetic moment in μB per formula unit: 0.00
Space group: R-3m

```
Na4TbPm3S8
1.0
-3.236 -1.770 7.273
3.922 -7.179 -0.002
4.189 6.922 -1.023
Na Tb Pm S
4 1 3 8
direct
0.500 0.000 0.000
0.500 0.000 0.500
0.000 0.000 0.000
0.000 0.000 0.500
0.000 0.500 0.000
0.500 0.500 0.000
0.500 0.500 0.500
0.000 0.500 0.500
0.241 0.730 0.989
0.241 0.730 0.482
0.256 0.267 0.512
0.748 0.730 0.989
0.252 0.270 0.011
0.744 0.733 0.488
0.759 0.270 0.518
0.759 0.270 0.011
```

***

[3]
This record from Alexandria via LeMat-Bulk describes a relaxed Na2PmTeS4 crystal. The functional is GGA-PBE.

Summary:
Raw formation energy in eV/f.u.: -8.50
Magnetic moment in μB per formula unit: 0.00
Space group: C2/c

```
Na2PmTeS4
1.0
8.028 0.050 0.124
0.044 8.028 0.124
-3.869 -3.872 6.003
Na Pm Te S
4 2 2 8
direct
0.500 0.000 0.000
0.500 0.000 0.500
0.000 0.000 0.500
0.500 0.500 0.000
0.000 0.500 0.000
0.000 0.500 0.500
0.500 0.500 0.500
0.000 0.000 0.000
0.220 0.742 0.967
0.758 0.280 0.533
0.242 0.720 0.467
0.780 0.258 0.033
0.785 0.781 0.026
0.719 0.715 0.474
0.281 0.285 0.526
0.215 0.219 0.974
```

***

[4]
This record from Alexandria via LeMat-Bulk describes a relaxed Na2PmThS4 crystal. The functional is GGA-PBE.

Summary:
Raw formation energy in eV/f.u.: -13.73
Magnetic moment in μB per formula unit: 0.00
Space group: P2/m

```
Na2PmThS4
1.0
4.063 0.000 0.000
0.000 7.027 0.124
0.000 -2.451 6.726
Na Pm Th S
2 1 1 4
direct
0.500 0.000 0.500
0.000 0.500 0.500
0.500 0.500 0.000
0.000 0.000 0.000
0.500 0.243 0.238
0.500 0.757 0.762
0.000 0.251 0.763
0.000 0.749 0.237
```

***

[5]
This record from Alexandria via LeMat-Bulk describes a relaxed NaPm2ThS4 crystal. The functional is GGA-PBE.

Summary:
Raw formation energy in eV/f.u.: -14.84
Magnetic moment in μB per formula unit: 0.00
Space group: P2/m

```
NaPm2ThS4
1.0
-2.685 2.893 -0.749
-3.262 -1.476 5.999
2.774 3.899 5.118
Na Pm Th S
1 2 1 4
direct
0.500 0.500 0.000
0.000 0.000 0.000
0.500 0.000 0.500
0.000 0.500 0.500
0.000 0.749 0.748
0.000 0.251 0.252
0.500 0.747 0.247
0.500 0.253 0.753
```

***

[6]
This record from Alexandria via LeMat-Bulk describes a relaxed Na2Pm2TiS6 crystal. The functional is GGA-PBE.

Summary:
Raw formation energy in eV/f.u.: -17.60
Magnetic moment in μB per formula unit: 0.00
Space group: C2/m

```
Na2Pm2TiS6
1.0
-4.708 -4.860 -0.085
3.044 1.718 -5.794
5.303 -3.614 3.037
Na Pm Ti S
2 2 1 6
direct
0.832 0.168 0.000
0.168 0.832 0.000
0.334 0.666 0.500
0.666 0.334 0.500
0.000 0.000 0.500
0.778 0.778 0.714
0.070 0.373 0.718
0.222 0.222 0.286
0.373 0.070 0.718
0.930 0.627 0.282
0.627 0.930 0.282
```